Entry from Alexandria: a relaxed structure of LiBeMoOs (GGA-PBE).

Structure (POSCAR):
```
LiBeMoOs
1.0
0.000 2.951 2.951
2.951 0.000 2.951
2.951 2.951 0.000
Li Be Mo Os
1 1 1 1
Direct
0.000 0.000 0.000 Li
0.750 0.750 0.750 Be
0.250 0.250 0.250 Mo
0.500 0.500 0.500 Os
```

Output
- N(E_F): 2.126 states/eV per cell
- Energy of formation: 0.009 eV per atom

Entry from Alexandria: a relaxed structure of La3Si2O8 (GGA-PBE).

Structure (POSCAR):
```
La3Si2O8
1.0
2.736 1.580 6.651
-2.736 1.580 6.651
0.000 -3.159 6.651
La Si O
3 2 8
Direct
0.000 0.000 0.000 La
0.205 0.205 0.205 La
0.795 0.795 0.795 La
0.405 0.405 0.405 Si
0.595 0.595 0.595 Si
0.239 0.731 0.731 O
0.269 0.269 0.761 O
0.269 0.761 0.269 O
0.323 0.323 0.323 O
0.677 0.677 0.677 O
0.731 0.239 0.731 O
0.731 0.731 0.239 O
0.761 0.269 0.269 O
```

Output
- Energy relative to the elements, uncorrected: -3.116 eV per atom
- N(E_F): 5.099 states/eV per cell

Entry from Alexandria: a relaxed structure of Mg3TaS (GGA-PBE).

Structure (POSCAR):
```
Mg3TaS
1.0
4.801 0.000 0.000
0.000 4.801 0.000
0.000 0.000 4.801
Mg Ta S
3 1 1
Direct
0.000 0.000 0.500 Mg
0.000 0.500 0.000 Mg
0.500 0.000 0.000 Mg
0.500 0.500 0.500 Ta
0.000 0.000 0.000 S
```

Output
- Energy relative to the elements, uncorrected: 0.480 eV per atom
- ΔE to the lowest computed polymorph: 0.0 kJ per mole of atoms
- N(E_F): 1.049 states/eV per cell

Entry from Alexandria: a relaxed structure of CaAl2BRu (GGA-PBE).

Structure (POSCAR):
```
CaAl2BRu
1.0
5.452 0.000 0.000
0.000 5.452 0.000
0.000 0.000 4.554
Ca Al B Ru
1 2 1 1
Direct
0.000 0.000 0.000 Ca
0.000 0.500 0.000 Al
0.500 0.000 0.000 Al
0.500 0.500 0.500 B
0.000 0.000 0.500 Ru
```

Output
- N(E_F): 4.994 states/eV per cell
- Energy of formation: 2.393 eV per atom